An optimized crystal structure of BaTlO2, computed with GGA-PBE.

Cell: 4.0141 4.0141 20.9631 Å, 90.00 90.00 120.00°
Space group R-3m (No. 166, hexagonal axes)
One atom of each set of equivalent atoms:
Ba (0.0000, 0.0000, 0.0000)
Tl (0.0000, 0.0000, 0.5000)
O (0.0000, 0.0000, 0.3984)

## Properties
- Fermi-level density of states: 0.54 states/eV/atom
- Total magnetic moment: 0.000 μB per formula unit
- Formation energy (no corrections): -134.7 kJ per mole of atoms
- E_tot: -59.4 eV per cell

***

An optimized crystal structure of Tb2In5Br12, computed with GGA-PBE.

Cell: 16.7923 10.4145 7.6128 Å, 90.00 107.37 90.00°
Space group C2/m (No. 12)
One atom of each set of equivalent atoms:
Tb (0.0000, 0.2499, 0.0000)
In (0.0000, 0.0000, 0.5000)
In (0.1499, 0.5000, 0.5153)
In (0.2468, 0.5000, 0.9964)
Br (0.0227, 0.5000, 0.7976)
Br (0.0823, 0.0000, 0.1993)
Br (0.0976, 0.1917, 0.7489)
Br (0.1668, 0.3077, 0.2265)

## Properties
- Fermi-level density of states: 0.32 states/eV/atom
- Total magnetic moment: 0.503 μB per formula unit
- Formation energy (no corrections): -108.6 kJ per mole of atoms
- E_tot: -128.8 eV per cell

***

What did the first record say?
An optimized crystal structure of BaTlO2, computed with GGA-PBE.

Cell: 4.0141 4.0141 20.9631 Å, 90.00 90.00 120.00°
Space group R-3m (No. 166, hexagonal axes)
One atom of each set of equivalent atoms:
Ba (0.0000, 0.0000, 0.0000)
Tl (0.0000, 0.0000, 0.5000)
O (0.0000, 0.0000, 0.3984)

## Properties
- Fermi-level density of states: 0.54 states/eV/atom
- Total magnetic moment: 0.000 μB per formula unit
- Formation energy (no corrections): -134.7 kJ per mole of atoms
- E_tot: -59.4 eV per cell

***

Question: Which value of Fermi-level density of states does entry 2 give?
Answer: 0.32 states/eV/atom

***

Question: What is the Fermi-level density of states in the second record?
Answer: 0.32 states/eV/atom